VASP calculation (PBE) on crystalline SrNbZn at its relaxed geometry.

- ρ (g/cm3) = 4.8
- E above lowest polymorph (eV/atom) = 0.000

Geometry as CIF:
```
data_SrNbZn
_cell_length_a 6.9950
_cell_length_b 6.9950
_cell_length_c 6.9950
_cell_angle_alpha 90.00
_cell_angle_beta 90.00
_cell_angle_gamma 90.00
_symmetry_space_group_name_H-M 'F -4 3 m'
_symmetry_Int_Tables_number 216
_symmetry_space_group_name_Hall 'F -4 2 3'
loop_
_atom_site_label
_atom_site_type_symbol
_atom_site_fract_x
_atom_site_fract_y
_atom_site_fract_z
_atom_site_occupancy
Sr1 Sr 0.0000 0.0000 0.0000 1
Nb1 Nb 0.2500 0.2500 0.2500 1
Zn1 Zn 0.0000 0.0000 0.5000 1
```